## LiZn2P (GGA-PBEsol)

Data for LiZn2P after structural relaxation.

abc: 2.6009 4.4391 5.5466
angles: 113.01 102.62 92.28
Closest atoms and distances in Å follow each position.
Fractional coordinates of all 4 atoms:
Li1 0.0000 0.0000 0.0000  4 P 2.53-2.62, 2 Li 2.60, 4 Zn 2.77
Zn1 0.0000 0.0000 0.5000  6 Zn 2.53-2.62, 2 Li 2.77, 2 P 2.77
Zn2 0.5000 0.5000 0.5000  6 Zn 2.53-2.62, 2 Li 2.77, 2 P 2.77
P1 0.5000 0.5000 0.0000  4 Li 2.53-2.62, 2 P 2.60, 4 Zn 2.77

Results
**Electronic total energy**: -11.41 eV per cell
**Formation enthalpy at 0 K**: -0.12 eV/atom
**Space-group type**: C2/m

***

## ScTaPdPt2 (GGA-PBEsol)

Data for ScTaPdPt2 after structural relaxation.

abc: 4.4987 4.8695 4.8695
angles: 90.00 90.00 90.00
Closest atoms and distances in Å follow each position.
Fractional coordinates of all 5 atoms:
Sc1 0.5000 0.5000 0.5000  8 Pt 3.31, 4 Ta 3.44
Pt1 0.0000 0.0000 0.5000  2 Pd 2.43
Pt2 0.0000 0.5000 0.0000  2 Pd 2.43
Pd1 0.0000 0.0000 0.0000  2 Ta 2.25, 4 Pt 2.43
Ta1 0.5000 0.0000 0.0000  2 Pd 2.25

Results
**Electronic total energy**: -34.92 eV per cell
**Formation enthalpy at 0 K**: 0.82 eV/atom
**Space-group type**: P4/mmm

***

## InReTe2 (GGA-PBEsol)

Data for InReTe2 after structural relaxation.

abc: 3.2162 3.2162 8.9325
angles: 90.00 90.00 90.00
Closest atoms and distances in Å follow each position.
Fractional coordinates of all 4 atoms:
Re1 0.5000 0.5000 0.5000  8 Te 2.82
Te1 0.0000 0.0000 0.6869  4 Re 2.82
Te2 0.0000 0.0000 0.3131  4 Re 2.82
In1 0.5000 0.5000 0.0000  4 In 3.22

Results
**Electronic total energy**: -22.20 eV per cell
**ΔE_f (raw)**: 112 kJ/mol of formula units
**Space-group type**: P4/mmm

***

## KSrLa (GGA-PBEsol)

Data for KSrLa after structural relaxation.

abc: 6.3894 6.3894 6.3894
angles: 60.00 60.00 60.00
Closest atoms and distances in Å follow each position.
Fractional coordinates of all 3 atoms:
Sr1 0.0000 0.0000 0.0000  4 La 3.91
K1 0.5000 0.5000 0.5000  4 La 3.91
La1 0.2500 0.2500 0.2500  4 Sr 3.91, 4 K 3.91

Results
**Electronic total energy**: -5.41 eV per cell
**Formation enthalpy at 0 K**: 0.97 eV/atom
**Space-group type**: F-43m